(1)
VASP calculation (PBE+U) on crystalline FeTcPd2O at its relaxed geometry.

Cell and atoms, written as POSCAR:
```
FeTcPd2O
1.0
4.3834 0.0000 0.0000
0.0000 4.3834 0.0000
0.0000 0.0000 3.8682
O Tc Pd Fe
1 1 2 1
direct
0.0000 0.0000 0.0000
0.5000 0.5000 0.5000
0.0000 0.5000 0.0000
0.5000 0.0000 0.0000
0.0000 0.0000 0.5000
```

Summary:
- DOS at the Fermi energy: 0.67 states/eV/atom
- VASP energy: -5.993 eV per atom
- Magnetic moment: 7.10 μB/cell

---

(2)
VASP calculation (PBE+U) on crystalline FeTePdO6 at its relaxed geometry.

Cell and atoms, written as POSCAR:
```
FeTePdO6
1.0
-1.8984 -4.3327 0.0145
3.9333 -1.7167 1.9896
-3.5907 1.6016 8.4807
Fe Te Pd O
2 2 2 12
direct
0.5000 0.5000 0.1685
0.0000 0.0000 0.6685
0.5000 0.5000 0.8344
0.0000 0.0000 0.3344
0.5000 0.5000 0.4998
0.0000 0.0000 0.9998
0.1866 0.8134 0.4968
0.8134 0.1866 0.4968
0.3134 0.3134 0.9968
0.6866 0.6866 0.9968
0.1930 0.8070 0.1731
0.8070 0.1930 0.1731
0.3070 0.3070 0.6731
0.6930 0.6930 0.6731
0.7995 0.2005 0.8287
0.2005 0.7995 0.8287
0.7005 0.7005 0.3287
0.2995 0.2995 0.3287
```

Summary:
- DOS at the Fermi energy: 0.26 states/eV/atom
- VASP energy: -5.764 eV per atom
- Magnetic moment: 8.46 μB/cell